Entry 1:
Entry from the Alexandria database: an optimized crystal structure of Y2ZnNO (PBE-GGA).

Unit cell a=5.1426 b=5.1426 c=3.7121 alpha=90.00 beta=90.00 gamma=90.00
Atoms (fractional coordinates):
Y  0.0000  0.5000  0.0000
Y  0.5000  0.0000  0.0000
Zn  0.0000  0.0000  0.0000
N  0.5000  0.5000  0.5000
O  0.0000  0.0000  0.5000

The space-group type is P4/mmm, No. 123. For the total energy, the calculation gives -5.1532 eV/atom. The crystal system is tetragonal.

Entry 2:
Entry from the Alexandria database: an optimized crystal structure of YZnN2O (PBE-GGA).

Unit cell a=3.8236 b=3.8236 c=3.9851 alpha=90.00 beta=90.00 gamma=90.00
Atoms (fractional coordinates):
Y  0.0000  0.0000  0.0000
Zn  0.5000  0.5000  0.5000
N  0.0000  0.5000  0.5000
N  0.5000  0.0000  0.5000
O  0.5000  0.5000  0.0000

The space-group type is P4/mmm, No. 123. For the total energy, the calculation gives -6.0670 eV/atom. The crystal system is tetragonal.

Entry 3:
Entry from the Alexandria database: an optimized crystal structure of YZrNO2 (PBE-GGA).

Unit cell a=4.0758 b=4.0758 c=4.3446 alpha=90.00 beta=90.00 gamma=90.00
Atoms (fractional coordinates):
Y  0.0000  0.0000  0.0000
Zr  0.5000  0.5000  0.5000
N  0.5000  0.5000  0.0000
O  0.0000  0.5000  0.5000
O  0.5000  0.0000  0.5000

The space-group type is P4/mmm, No. 123. For the total energy, the calculation gives -8.8879 eV/atom. The crystal system is tetragonal.

Entry 4:
Entry from the Alexandria database: an optimized crystal structure of YZrNO2 (PBE-GGA).

Unit cell a=4.1876 b=4.1876 c=4.4169 alpha=90.00 beta=90.00 gamma=90.00
Atoms (fractional coordinates):
Y  0.0000  0.0000  0.0000
Zr  0.5000  0.5000  0.5000
N  0.0000  0.0000  0.5000
O  0.0000  0.5000  0.0000
O  0.5000  0.0000  0.0000

The space-group type is P4/mmm, No. 123. For the total energy, the calculation gives -7.7248 eV/atom. The crystal system is tetragonal.

Entry 5:
Entry from the Alexandria database: an optimized crystal structure of Zn3NO3 (PBE-GGA).

Unit cell a=5.6845 b=5.6845 c=5.6845 alpha=90.00 beta=90.00 gamma=90.00
Atoms (fractional coordinates):
Zn  0.0000  0.2500  0.5000
Zn  0.0000  0.7500  0.5000
Zn  0.2500  0.5000  0.0000
Zn  0.5000  0.0000  0.2500
Zn  0.5000  0.0000  0.7500
Zn  0.7500  0.5000  0.0000
N  0.0000  0.0000  0.0000
N  0.5000  0.5000  0.5000
O  0.0000  0.5000  0.2500
O  0.0000  0.5000  0.7500
O  0.2500  0.0000  0.5000
O  0.5000  0.2500  0.0000
O  0.5000  0.7500  0.0000
O  0.7500  0.0000  0.5000

The space-group type is Pm-3n, No. 223. For the total energy, the calculation gives -4.3003 eV/atom. The crystal system is cubic.

Entry 6:
Entry from the Alexandria database: an optimized crystal structure of Zn2N2O (PBE-GGA).

Unit cell a=5.7741 b=5.7741 c=3.6547 alpha=90.00 beta=90.00 gamma=90.00
Atoms (fractional coordinates):
Zn  0.1969  0.3031  0.0000
Zn  0.3031  0.8031  0.0000
Zn  0.6969  0.1969  0.0000
Zn  0.8031  0.6969  0.0000
N  0.0770  0.4230  0.5000
N  0.4230  0.9230  0.5000
N  0.5770  0.0770  0.5000
N  0.9230  0.5770  0.5000
O  0.0000  0.0000  0.0000
O  0.5000  0.5000  0.0000

The space-group type is P4/mbm, No. 127. For the total energy, the calculation gives -4.8140 eV/atom. The crystal system is tetragonal.

Entry 7:
Entry from the Alexandria database: an optimized crystal structure of Zn4N2O (PBE-GGA).

Unit cell a=3.1559 b=10.2860 c=10.3638 alpha=90.00 beta=90.00 gamma=90.00
Atoms (fractional coordinates):
Zn  0.2219  0.2500  0.0000
Zn  0.2219  0.2500  0.5000
Zn  0.2384  0.5125  0.1067
Zn  0.2384  0.5125  0.3933
Zn  0.2384  0.9875  0.6067
Zn  0.2384  0.9875  0.8933
Zn  0.2648  0.6976  0.7500
Zn  0.2648  0.8024  0.2500
Zn  0.7352  0.1976  0.7500
Zn  0.7352  0.3024  0.2500
Zn  0.7616  0.0125  0.1067
Zn  0.7616  0.0125  0.3933
Zn  0.7616  0.4875  0.6067
Zn  0.7616  0.4875  0.8933
Zn  0.7781  0.7500  0.0000
Zn  0.7781  0.7500  0.5000
N  0.2892  0.6228  0.5726
N  0.2892  0.6228  0.9274
N  0.2892  0.8772  0.0726
N  0.2892  0.8772  0.4274
N  0.7108  0.1228  0.5726
N  0.7108  0.1228  0.9274
N  0.7108  0.3772  0.0726
N  0.7108  0.3772  0.4274
O  0.0648  0.6226  0.2500
O  0.0648  0.8774  0.7500
O  0.9352  0.1226  0.2500
O  0.9352  0.3774  0.7500

The space-group type is Pbcm, No. 57. For the total energy, the calculation gives -3.9855 eV/atom. The crystal system is orthorhombic.

Entry 8:
Entry from the Alexandria database: an optimized crystal structure of Zn3NO (PBE-GGA).

Unit cell a=6.1357 b=3.4634 c=6.8419 alpha=90.00 beta=109.16 gamma=90.00
Atoms (fractional coordinates):
Zn  0.0190  0.2500  0.3508
Zn  0.1521  0.2500  0.9849
Zn  0.4676  0.2500  0.6716
Zn  0.5324  0.7500  0.3284
Zn  0.8479  0.7500  0.0151
Zn  0.9810  0.7500  0.6492
N  0.1609  0.2500  0.6963
N  0.8391  0.7500  0.3037
O  0.3546  0.2500  0.3034
O  0.6454  0.7500  0.6966

The space-group type is P2_1/m, No. 11. The calculation puts the distance to the lowest polymorph of the same formula at 0 meV per atom. For the total energy, the calculation gives -3.8029 eV/atom. The crystal system is monoclinic.

Entry 9:
Entry from the Alexandria database: an optimized crystal structure of Zn3NO (PBE-GGA).

Unit cell a=4.0332 b=4.0332 c=4.0332 alpha=90.00 beta=90.00 gamma=90.00
Atoms (fractional coordinates):
Zn  0.0000  0.0000  0.5000
Zn  0.0000  0.5000  0.0000
Zn  0.5000  0.0000  0.0000
N  0.0000  0.0000  0.0000
O  0.5000  0.5000  0.5000

The space-group type is Pm-3m, No. 221. The calculation puts the distance to the lowest polymorph of the same formula at 562 meV per atom. For the total energy, the calculation gives -3.2404 eV/atom. The crystal system is cubic.

Entry 10:
Entry from the Alexandria database: an optimized crystal structure of Zn2N2O (PBE-GGA).

Unit cell a=6.1952 b=6.1952 c=6.1952 alpha=153.14 beta=153.14 gamma=38.35
Atoms (fractional coordinates):
Zn  0.1086  0.1086  0.0000
Zn  0.8914  0.8914  0.0000
N  0.2500  0.7500  0.5000
N  0.7500  0.2500  0.5000
O  0.5000  0.5000  0.0000

The space-group type is I4/mmm, No. 139. For the total energy, the calculation gives -4.0416 eV/atom. The crystal system is tetragonal.

Entry 11:
Entry from the Alexandria database: an optimized crystal structure of ZrZnNO2 (PBE-GGA).

Unit cell a=4.1072 b=4.1072 c=4.3738 alpha=90.00 beta=90.00 gamma=90.00
Atoms (fractional coordinates):
Zr  0.0000  0.0000  0.0000
Zn  0.5000  0.5000  0.5000
N  0.0000  0.0000  0.5000
O  0.0000  0.5000  0.0000
O  0.5000  0.0000  0.0000

The space-group type is P4/mmm, No. 123. For the total energy, the calculation gives -6.4865 eV/atom. The crystal system is tetragonal.

Entry 12:
Entry from the Alexandria database: an optimized crystal structure of ZrZnNO2 (PBE-GGA).

Unit cell a=3.7335 b=3.7335 c=3.9056 alpha=90.00 beta=90.00 gamma=90.00
Atoms (fractional coordinates):
Zr  0.0000  0.0000  0.0000
Zn  0.5000  0.5000  0.5000
N  0.5000  0.5000  0.0000
O  0.0000  0.5000  0.5000
O  0.5000  0.0000  0.5000

The space-group type is P4/mmm, No. 123. For the total energy, the calculation gives -6.3128 eV/atom. The crystal system is tetragonal.

Entry 13:
Entry from the Alexandria database: an optimized crystal structure of ZrZnN2O (PBE-GGA).

Unit cell a=3.7938 b=3.7938 c=3.7615 alpha=90.00 beta=90.00 gamma=90.00
Atoms (fractional coordinates):
Zr  0.0000  0.0000  0.0000
Zn  0.5000  0.5000  0.5000
N  0.0000  0.5000  0.5000
N  0.5000  0.0000  0.5000
O  0.5000  0.5000  0.0000

The space-group type is P4/mmm, No. 123. For the total energy, the calculation gives -6.2531 eV/atom. The crystal system is tetragonal.

Entry 14:
Entry from the Alexandria database: an optimized crystal structure of ZrZnN2O (PBE-GGA).

Unit cell a=4.3249 b=4.3249 c=4.0858 alpha=90.00 beta=90.00 gamma=90.00
Atoms (fractional coordinates):
Zr  0.0000  0.0000  0.0000
Zn  0.5000  0.5000  0.5000
N  0.0000  0.5000  0.0000
N  0.5000  0.0000  0.0000
O  0.0000  0.0000  0.5000

The space-group type is P4/mmm, No. 123. For the total energy, the calculation gives -6.2559 eV/atom. The crystal system is tetragonal.

Entry 15:
Entry from the Alexandria database: an optimized crystal structure of Zr6NO (PBE-GGA).

Unit cell a=6.1980 b=6.1980 c=6.1980 alpha=54.47 beta=54.47 gamma=54.47
Atoms (fractional coordinates):
Zr  0.0967  0.7474  0.4081
Zr  0.2526  0.5919  0.9033
Zr  0.4081  0.0967  0.7474
Zr  0.5919  0.9033  0.2526
Zr  0.7474  0.4081  0.0967
Zr  0.9033  0.2526  0.5919
N  0.5000  0.5000  0.5000
O  0.0000  0.0000  0.0000

The space-group type is R-3, No. 148. The calculation puts the distance to the lowest polymorph of the same formula at 2 meV per atom. For the total energy, the calculation gives -9.2145 eV/atom. The crystal system is trigonal.

Entry 16:
Entry from the Alexandria database: an optimized crystal structure of Zr8NO2 (PBE-GGA).

Unit cell a=6.8387 b=6.8387 c=5.1262 alpha=90.00 beta=90.00 gamma=120.00
Atoms (fractional coordinates):
Zr  0.1561  0.3121  0.2486
Zr  0.1561  0.8439  0.2486
Zr  0.3121  0.1561  0.7514
Zr  0.3333  0.6667  0.7291
Zr  0.6667  0.3333  0.2709
Zr  0.6879  0.8439  0.2486
Zr  0.8439  0.1561  0.7514
Zr  0.8439  0.6879  0.7514
N  0.0000  0.0000  0.5000
O  0.3333  0.6667  0.2815
O  0.6667  0.3333  0.7185

The space-group type is P-3m1, No. 164. For the total energy, the calculation gives -9.1091 eV/atom. The crystal system is trigonal.

Entry 17:
Entry from the Alexandria database: an optimized crystal structure of Zr4NO2 (PBE-GGA).

Unit cell a=6.5385 b=6.2640 c=7.7939 alpha=54.12 beta=50.91 gamma=74.97
Atoms (fractional coordinates):
Zr  0.2129  0.7956  0.9583
Zr  0.2168  0.2917  0.4544
Zr  0.2917  0.2168  0.0371
Zr  0.3009  0.6991  0.5359
Zr  0.6991  0.3009  0.4641
Zr  0.7141  0.7859  0.9491
Zr  0.7859  0.7141  0.5509
Zr  0.7956  0.2129  0.0332
N  0.2403  0.2403  0.7597
N  0.4903  0.4903  0.0097
O  0.2352  0.7614  0.2555
O  0.5020  0.9945  0.4886
O  0.7614  0.2352  0.7480
O  0.9945  0.5020  0.0148

The space-group type is Fdd2, No. 43. For the total energy, the calculation gives -9.3738 eV/atom. The crystal system is orthorhombic.

Entry 18:
Entry from the Alexandria database: an optimized crystal structure of Zr6N2O (PBE-GGA).

Unit cell a=5.2137 b=5.6974 c=9.8856 alpha=90.00 beta=90.00 gamma=90.00
Atoms (fractional coordinates):
Zr  0.2419  0.1640  0.0000
Zr  0.2505  0.1634  0.3297
Zr  0.2505  0.1634  0.6703
Zr  0.2495  0.6634  0.1703
Zr  0.2495  0.6634  0.8297
Zr  0.2581  0.6640  0.5000
Zr  0.7419  0.3360  0.5000
Zr  0.7505  0.3366  0.1703
Zr  0.7505  0.3366  0.8297
Zr  0.7495  0.8366  0.3297
Zr  0.7495  0.8366  0.6703
Zr  0.7581  0.8360  0.0000
N  0.0000  0.0000  0.1648
N  0.0000  0.0000  0.8352
N  0.5000  0.5000  0.3352
N  0.5000  0.5000  0.6649
O  0.0000  0.5000  0.0000
O  0.5000  0.0000  0.5000

The space-group type is Pnnm, No. 58. For the total energy, the calculation gives -9.4754 eV/atom. The crystal system is orthorhombic.

Entry 19:
Entry from the Alexandria database: an optimized crystal structure of Zr8N2O (PBE-GGA).

Unit cell a=6.4515 b=6.4515 c=4.8928 alpha=91.02 beta=91.02 gamma=73.76
Atoms (fractional coordinates):
Zr  0.1079  0.6795  0.7606
Zr  0.1741  0.1741  0.7333
Zr  0.3205  0.8921  0.2394
Zr  0.3903  0.3903  0.2470
Zr  0.6097  0.6097  0.7530
Zr  0.6795  0.1079  0.7606
Zr  0.8259  0.8259  0.2667
Zr  0.8921  0.3205  0.2394
N  0.3861  0.3861  0.7405
N  0.6139  0.6139  0.2595
O  0.0000  0.0000  0.0000

The space-group type is C2/m, No. 12. For the total energy, the calculation gives -9.3325 eV/atom. The crystal system is monoclinic.

Entry 20:
Entry from the Alexandria database: an optimized crystal structure of Zr5N5O2 (PBE-GGA).

Unit cell a=5.5243 b=5.5243 c=9.2606 alpha=105.02 beta=105.02 gamma=32.77
Atoms (fractional coordinates):
Zr  0.0000  0.0000  0.0000
Zr  0.1128  0.1128  0.4233
Zr  0.2971  0.2971  0.1915
Zr  0.7029  0.7029  0.8085
Zr  0.8872  0.8872  0.5767
N  0.2635  0.2635  0.6474
N  0.3432  0.3432  0.9455
N  0.5000  0.5000  0.5000
N  0.6568  0.6568  0.0545
N  0.7365  0.7365  0.3526
O  0.0455  0.0455  0.7874
O  0.9545  0.9545  0.2126

The space-group type is C2/m, No. 12. For the total energy, the calculation gives -9.8039 eV/atom. The crystal system is monoclinic.